TaMnSi2, relaxed, DFT GGA-PBE; formation energy from raw total energies = -0.1125 eV per atom; E = -32.3 eV/f.u.; Fermi-level density of states = 0.448 states/eV/atom
1.0
5.698 0.000 0.000
0.000 7.200 0.000
0.000 0.000 2.787
Ta Mn Si
2 2 4
direct
0.000 0.000 0.000
0.500 0.500 0.000
0.000 0.500 0.000
0.500 0.000 0.000
0.250 0.250 0.500
0.250 0.750 0.500
0.750 0.250 0.500
0.750 0.750 0.500

=====

Ba4SnGe, relaxed, DFT GGA-PBE; DFT formation energy = -11.2 kcal/mol of atoms; E = -19.2 eV/f.u.; Fermi-level density of states = 0.337 states/eV/atom
1.0
5.348 -7.771 0.000
5.348 7.771 0.000
-3.903 0.000 6.598
Ba Sn Ge
8 2 2
direct
0.052 0.710 0.922
0.234 0.354 0.714
0.290 0.948 0.578
0.354 0.234 0.214
0.646 0.766 0.786
0.710 0.052 0.422
0.766 0.646 0.286
0.948 0.290 0.078
0.364 0.636 0.250
0.636 0.364 0.750
0.001 0.999 0.750
0.999 0.001 0.250

=====

CaScCd5, relaxed, DFT GGA-PBE; DFT formation energy = -2.5 kcal/mol of atoms; E = -13.7 eV/f.u.; Fermi-level density of states = 0.731 states/eV/atom
1.0
5.125 0.000 0.000
0.000 5.125 0.000
0.000 0.000 6.720
Ca Sc Cd
1 1 5
direct
0.000 0.000 0.000
0.500 0.500 0.500
0.000 0.500 0.279
0.000 0.500 0.721
0.500 0.000 0.279
0.500 0.000 0.721
0.500 0.500 0.000

=====

CaH2Os, relaxed, DFT GGA-PBE; E = -16.6 eV/f.u.; Fermi-level density of states = 0.260 states/eV/atom
1.0
5.699 0.000 0.000
0.000 5.699 0.000
0.000 0.000 5.699
Ca H Os
4 8 4
direct
0.000 0.000 0.000
0.000 0.500 0.500
0.500 0.000 0.500
0.500 0.500 0.000
0.250 0.250 0.250
0.250 0.250 0.750
0.250 0.750 0.250
0.250 0.750 0.750
0.750 0.250 0.250
0.750 0.250 0.750
0.750 0.750 0.250
0.750 0.750 0.750
0.000 0.000 0.500
0.000 0.500 0.000
0.500 0.000 0.000
0.500 0.500 0.500

=====

Ce2YHoTe5, relaxed, DFT GGA-PBE; formation energy from raw total energies = -0.8346 eV per atom; E = -46.1 eV/f.u.; Fermi-level density of states = 2.186 states/eV/atom
1.0
5.510 0.000 0.000
0.000 5.510 0.000
0.000 0.000 11.542
Ce Y Ho Te
2 1 1 5
direct
0.000 0.000 0.181
0.000 0.000 0.819
0.500 0.500 0.500
0.500 0.500 0.000
0.000 0.000 0.500
0.000 0.500 0.000
0.500 0.000 0.000
0.500 0.500 0.255
0.500 0.500 0.745

=====

MgAlCuRu, relaxed, DFT GGA-PBE; DFT formation energy = -6.1 kcal/mol of atoms; E = -19.8 eV/f.u.; Fermi-level density of states = 0.651 states/eV/atom
1.0
6.091 0.000 0.000
0.000 6.091 0.000
0.000 0.000 6.091
Mg Al Cu Ru
4 4 4 4
direct
0.000 0.000 0.000
0.000 0.500 0.500
0.500 0.000 0.500
0.500 0.500 0.000
0.000 0.000 0.500
0.000 0.500 0.000
0.500 0.000 0.000
0.500 0.500 0.500
0.250 0.250 0.750
0.250 0.750 0.250
0.750 0.250 0.250
0.750 0.750 0.750
0.250 0.250 0.250
0.250 0.750 0.750
0.750 0.250 0.750
0.750 0.750 0.250

=====

HgIBr2, relaxed, DFT GGA-PBE; formation energy from raw total energies = -0.1194 eV per atom; E = -5.7 eV/f.u.; Fermi-level density of states = 1.006 states/eV/atom
1.0
3.904 0.000 0.000
-1.952 3.381 0.000
0.000 0.000 37.868
Hg I Br
3 3 6
direct
0.000 0.000 0.000
0.333 0.667 0.667
0.667 0.333 0.333
0.000 0.000 0.500
0.333 0.667 0.167
0.667 0.333 0.833
0.000 0.000 0.379
0.000 0.000 0.621
0.333 0.667 0.045
0.333 0.667 0.288
0.667 0.333 0.712
0.667 0.333 0.955

=====

Tc3SnCl, relaxed, DFT GGA-PBE; formation energy from raw total energies = 2.1126 eV per atom; E = -26.4 eV/f.u.; Fermi-level density of states = 1.058 states/eV/atom
1.0
5.156 0.000 0.000
0.000 5.156 0.000
0.000 0.000 5.156
Tc Sn Cl
3 1 1
direct
0.000 0.000 0.500
0.000 0.500 0.000
0.500 0.000 0.000
0.000 0.000 0.000
0.500 0.500 0.500

=====

GaCu2Sn2, relaxed, DFT GGA-PBE; DFT formation energy = 2.4 kcal/mol of atoms; E = -18.7 eV/f.u.; Fermi-level density of states = 0.472 states/eV/atom
1.0
3.476 0.000 0.000
0.000 3.476 0.000
0.000 0.000 16.505
Ga Cu Sn
2 4 4
direct
0.000 0.000 0.000
0.500 0.500 0.500
0.000 0.500 0.250
0.000 0.500 0.750
0.500 0.000 0.250
0.500 0.000 0.750
0.000 0.000 0.383
0.000 0.000 0.617
0.500 0.500 0.117
0.500 0.500 0.883

=====

MoN2Cl, relaxed, DFT GGA-PBE; formation energy from raw total energies = 0.2183 eV per atom; E = -28.5 eV/f.u.; Fermi-level density of states = 1.208 states/eV/atom
1.0
6.052 0.000 0.000
0.000 6.052 0.000
0.000 0.000 8.556
Mo N Cl
4 8 4
direct
0.000 0.000 0.000
0.000 0.500 0.250
0.500 0.000 0.750
0.500 0.500 0.500
0.001 0.750 0.125
0.250 0.001 0.875
0.250 0.499 0.375
0.499 0.750 0.625
0.501 0.250 0.625
0.750 0.501 0.375
0.750 0.999 0.875
0.999 0.250 0.125
0.000 0.000 0.500
0.000 0.500 0.750
0.500 0.000 0.250
0.500 0.500 0.000

=====

ZrTeN2O, relaxed, DFT GGA-PBE; formation energy from raw total energies = 1.1076 eV per atom; E = -27.8 eV/f.u.; Fermi-level density of states = 0.333 states/eV/atom
1.0
4.121 0.000 0.000
0.000 4.121 0.000
0.000 0.000 4.023
Zr Te N O
1 1 2 1
direct
0.000 0.000 0.000
0.500 0.500 0.000
0.000 0.500 0.500
0.500 0.000 0.500
0.500 0.500 0.500

=====

Nd3Er8Tm4, relaxed, DFT GGA-PBE; DFT formation energy = 9.4 kcal/mol of atoms; E = -62.6 eV/f.u.; Fermi-level density of states = 1.930 states/eV/atom
1.0
6.650 -6.399 0.000
6.650 6.399 0.000
-3.346 0.000 5.780
Nd Er Tm
3 8 4
direct
0.000 0.000 0.000
0.000 0.500 0.000
0.500 0.000 0.000
0.140 0.860 0.500
0.232 0.232 0.957
0.242 0.242 0.488
0.249 0.751 0.000
0.751 0.249 0.000
0.758 0.758 0.512
0.768 0.768 0.043
0.860 0.140 0.500
0.000 0.500 0.500
0.500 0.000 0.500
0.500 0.500 0.000
0.500 0.500 0.500

=====

HS, relaxed, DFT GGA-PBE; E = -5.8 eV/f.u.; Fermi-level density of states = 0.977 states/eV/atom
1.0
5.359 0.000 0.000
0.000 5.359 0.000
0.000 0.000 5.359
H S
6 6
direct
0.000 0.250 0.500
0.000 0.750 0.500
0.250 0.500 0.000
0.500 0.000 0.250
0.500 0.000 0.750
0.750 0.500 0.000
0.000 0.500 0.250
0.000 0.500 0.750
0.250 0.000 0.500
0.500 0.250 0.000
0.500 0.750 0.000
0.750 0.000 0.500

=====

La2NdIn3Hg6, relaxed, DFT GGA-PBE; DFT formation energy = -2.8 kcal/mol of atoms; E = -26.1 eV/f.u.; Fermi-level density of states = 0.806 states/eV/atom
1.0
4.353 0.000 0.000
0.000 4.353 0.000
0.000 0.000 20.552
La Nd In Hg
2 1 3 6
direct
0.000 0.000 0.216
0.000 0.000 0.784
0.000 0.000 0.500
0.500 0.500 0.000
0.500 0.500 0.281
0.500 0.500 0.719
0.000 0.500 0.385
0.000 0.500 0.615
0.500 0.000 0.385
0.500 0.000 0.615
0.500 0.500 0.136
0.500 0.500 0.864

=====

DyEr4Mg2, relaxed, DFT GGA-PBE; DFT formation energy = 0.8 kcal/mol of atoms; E = -25.8 eV/f.u.; Fermi-level density of states = 0.936 states/eV/atom
1.0
3.481 0.000 0.000
0.000 34.427 0.000
0.000 0.000 3.439
Dy Er Mg
2 8 4
direct
0.000 0.000 0.000
0.500 0.500 0.000
0.000 0.146 0.000
0.000 0.426 0.500
0.000 0.574 0.500
0.000 0.854 0.000
0.500 0.074 0.500
0.500 0.354 0.000
0.500 0.646 0.000
0.500 0.926 0.500
0.000 0.287 0.500
0.000 0.713 0.500
0.500 0.213 0.500
0.500 0.787 0.500

=====

AlReSe2Br, relaxed, DFT GGA-PBE; formation energy from raw total energies = 0.3748 eV per atom; E = -23.0 eV/f.u.; Fermi-level density of states = 0.257 states/eV/atom
1.0
4.822 0.000 0.000
0.000 4.822 0.000
0.000 0.000 5.492
Al Re Se Br
1 1 2 1
direct
0.000 0.000 0.000
0.500 0.500 0.500
0.000 0.500 0.500
0.500 0.000 0.500
0.500 0.500 0.000

=====

In2OsSe, relaxed, DFT GGA-PBE; formation energy from raw total energies = 0.3908 eV per atom; E = -18.6 eV/f.u.; Fermi-level density of states = 0.353 states/eV/atom
1.0
3.447 0.000 0.000
0.000 3.447 0.000
0.000 0.000 6.580
In Os Se
2 1 1
direct
0.000 0.000 0.230
0.000 0.000 0.770
0.500 0.500 0.000
0.500 0.500 0.500

=====

Ca2MgICl, relaxed, DFT GGA-PBE; formation energy from raw total energies = -0.0701 eV per atom; E = -9.3 eV/f.u.; Fermi-level density of states = 0.812 states/eV/atom
1.0
5.960 0.000 0.000
0.000 5.960 0.000
0.000 0.000 6.737
Ca Mg I Cl
2 1 1 1
direct
0.000 0.500 0.000
0.500 0.000 0.000
0.000 0.000 0.500
0.000 0.000 0.000
0.500 0.500 0.500

=====

PrY2Sc2, relaxed, DFT GGA-PBE; DFT formation energy = 2.9 kcal/mol of atoms; E = -29.7 eV/f.u.; Fermi-level density of states = 1.742 states/eV/atom
1.0
-2.752 3.396 8.127
2.752 -3.396 8.127
2.752 3.396 -8.127
Pr Y Sc
2 4 4
direct
0.377 0.127 0.250
0.623 0.873 0.750
0.127 0.877 0.250
0.254 0.504 0.750
0.746 0.496 0.250
0.873 0.123 0.750
0.187 0.692 0.494
0.302 0.308 0.994
0.698 0.692 0.006
0.813 0.308 0.506

=====

Pm3TmN4, relaxed, DFT GGA-PBE; formation energy from raw total energies = -1.5076 eV per atom; E = -64.1 eV/f.u.; Fermi-level density of states = 0.087 states/eV/atom
1.0
6.173 0.000 0.000
0.000 7.133 0.000
-2.056 0.000 5.818
Pm Tm N
6 2 8
direct
0.000 0.124 0.250
0.000 0.371 0.750
0.000 0.629 0.250
0.000 0.876 0.750
0.500 0.372 0.250
0.500 0.628 0.750
0.500 0.124 0.750
0.500 0.876 0.250
0.253 0.366 0.506
0.253 0.634 0.006
0.260 0.123 0.998
0.260 0.877 0.498
0.740 0.123 0.502
0.740 0.877 0.002
0.747 0.366 0.994
0.747 0.634 0.494

=====

KOsRh3, relaxed, DFT GGA-PBE; DFT formation energy = 64.4 kcal/mol of atoms; E = -20.4 eV/f.u.; Fermi-level density of states = 1.489 states/eV/atom
1.0
4.592 0.000 0.000
0.000 4.592 0.000
0.000 0.000 4.592
K Os Rh
1 1 3
direct
0.000 0.000 0.000
0.500 0.500 0.500
0.000 0.000 0.500
0.000 0.500 0.000
0.500 0.000 0.000

=====

HgP2Ru, relaxed, DFT GGA-PBE; DFT formation energy = 4.3 kcal/mol of atoms; E = -19.6 eV/f.u.; Fermi-level density of states = 0.813 states/eV/atom
1.0
3.018 0.000 0.000
0.000 3.018 0.000
0.000 0.000 7.578
Hg P Ru
1 2 1
direct
0.000 0.000 0.000
0.000 0.000 0.554
0.500 0.500 0.377
0.500 0.500 0.703

=====

Te2RhPb, relaxed, DFT GGA-PBE; formation energy from raw total energies = -0.0864 eV per atom; E = -17.7 eV/f.u.; Fermi-level density of states = 0.794 states/eV/atom
1.0
4.736 0.000 0.000
0.000 3.334 0.000
-1.969 0.000 7.343
Te Rh Pb
2 1 1
direct
0.000 0.000 0.000
0.321 0.500 0.637
0.230 0.000 0.367
0.690 0.500 0.283

=====

Ag3C, relaxed, DFT GGA-PBE; DFT formation energy = 21.7 kcal/mol of atoms; E = -14.0 eV/f.u.; Fermi-level density of states = 0.522 states/eV/atom
1.0
4.302 0.000 0.000
0.000 4.302 0.000
0.000 0.000 4.302
Ag C
3 1
direct
0.000 0.000 0.500
0.000 0.500 0.000
0.500 0.000 0.000
0.000 0.000 0.000

=====

TeMoS, relaxed, DFT GGA-PBE; formation energy from raw total energies = -0.4994 eV per atom; E = -19.6 eV/f.u.; Fermi-level density of states = 0.141 states/eV/atom
1.0
3.359 0.000 0.000
-1.680 2.909 0.000
0.000 0.000 35.387
Te Mo S
4 4 4
direct
0.000 0.000 0.000
0.000 0.000 0.107
0.000 0.000 0.405
0.000 0.000 0.512
0.000 0.000 0.257
0.000 0.000 0.849
0.333 0.667 0.054
0.333 0.667 0.459
0.333 0.667 0.214
0.333 0.667 0.299
0.333 0.667 0.806
0.333 0.667 0.891

=====

NbTeRuI2, relaxed, DFT GGA-PBE; formation energy from raw total energies = 1.0539 eV per atom; E = -20.3 eV/f.u.; Fermi-level density of states = 1.022 states/eV/atom
1.0
5.604 0.000 0.000
0.000 5.604 0.000
0.000 0.000 5.410
Nb Te Ru I
1 1 1 2
direct
0.000 0.000 0.000
0.000 0.000 0.500
0.500 0.500 0.500
0.000 0.500 0.000
0.500 0.000 0.000

=====

| no. | magnetization (μB per cell) |
| --- | --- |
| 1 | 5.62 |
| 2 | 1.10 |
| 3 | 0.00 |
| 4 | 0.00 |
| 5 | 3.45 |
| 6 | 0.00 |
| 7 | 0.00 |
| 8 | 9.54 |
| 9 | 0.00 |
| 10 | 4.00 |
| 11 | 0.00 |
| 12 | 0.00 |
| 13 | 0.01 |
| 14 | 0.00 |
| 15 | 0.00 |
| 16 | 0.00 |
| 17 | 0.00 |
| 18 | 0.84 |
| 19 | 0.00 |
| 20 | 0.00 |
| 21 | 5.11 |
| 22 | 0.00 |
| 23 | 0.00 |
| 24 | 0.00 |
| 25 | 0.00 |
| 26 | 4.09 |